LiAc3V2O9: optimized geometry, GGA+U.

Fermi-level density of states = 3.99 states/eV/f.u.
E = -7.665 eV per atom
symmetry = P-3m1
mass density = 8.283 g cm⁻³

a b c (Å): 5.5875 5.5875 6.9241
angles (deg): 90.00 90.00 120.00
With the nearest neighbours (Å) after each atom.
Positions (direct):
Li  0.0000  0.0000  0.0000  6 O 2.06
Ac  0.0000  0.0000  0.5000  12 O 2.79-2.81
Ac  0.3333  0.6667  0.1526  12 O 2.75-2.90
Ac  0.6667  0.3333  0.8474  12 O 2.75-2.90
V  0.3333  0.6667  0.6697  6 O 1.90-2.00
V  0.6667  0.3333  0.3303  6 O 1.90-2.00
O  0.0000  0.5000  0.5000  2 V 2.00
O  0.1723  0.3447  0.8259  1 V 1.90, 1 Li 2.06
O  0.1723  0.8277  0.8259  1 V 1.90, 1 Li 2.06
O  0.3447  0.1723  0.1741  1 V 1.90, 1 Li 2.06
O  0.5000  0.0000  0.5000  2 V 2.00
O  0.5000  0.5000  0.5000  2 V 2.00
O  0.6553  0.8277  0.8259  1 V 1.90, 1 Li 2.06
O  0.8277  0.1723  0.1741  1 V 1.90, 1 Li 2.06
O  0.8277  0.6553  0.1741  1 V 1.90, 1 Li 2.06